(1)
CdPt2Pb2 PBE optimized geometry; excess energy over the best structure of this formula in the dataset = 95 meV/atom; DOS(E_F) = 2.3 states/eV per cell; energy of formation from the pure elements = -0.036 eV per atom
1.0
-1.9638 1.9638 8.2325
1.9638 -1.9638 8.2325
1.9638 1.9638 -8.2325
Cd Pt Pb
1 2 2
direct
0.0000 0.0000 0.0000 Cd
0.2500 0.7500 0.5000 Pt
0.7500 0.2500 0.5000 Pt
0.3749 0.3749 0.0000 Pb
0.6251 0.6251 0.0000 Pb



(2)
Sr2TmInO5 PBE optimized geometry; energy relative to the elements, uncorrected = -2.647 eV/atom; DOS(E_F) = 0.0 states/eV per cell
1.0
1.7456 -7.0698 0.0000
1.7456 7.0698 0.0000
0.0000 0.0000 11.1398
Sr Tm In O
4 2 2 10
direct
0.1038 0.8962 0.5000 Sr
0.1399 0.8601 0.0967 Sr
0.8601 0.1399 0.5967 Sr
0.8962 0.1038 0.0000 Sr
0.2220 0.7780 0.8245 Tm
0.7780 0.2220 0.3245 Tm
0.4732 0.5268 0.2716 In
0.5268 0.4732 0.7716 In
0.0609 0.9391 0.8673 O
0.2762 0.7238 0.4592 O
0.3108 0.6892 0.2003 O
0.3750 0.6250 0.8149 O
0.4932 0.5068 0.5904 O
0.5068 0.4932 0.0904 O
0.6250 0.3750 0.3149 O
0.6892 0.3108 0.7003 O
0.7238 0.2762 0.9592 O
0.9391 0.0609 0.3673 O



(3)
DyHoNiPd PBE optimized geometry; excess energy over the best structure of this formula in the dataset = 45 meV/atom; DOS(E_F) = 3.7 states/eV per cell; energy of formation from the pure elements = -0.632 eV per atom
1.0
0.0000 3.4466 3.4466
3.4466 0.0000 3.4466
3.4466 3.4466 0.0000
Dy Ho Ni Pd
1 1 1 1
direct
0.0000 0.0000 0.0000 Dy
0.5000 0.5000 0.5000 Ho
0.2500 0.2500 0.2500 Ni
0.7500 0.7500 0.7500 Pd



(4)
Zr2NiH4 PBE optimized geometry; raw total energy = -5.513 eV per atom; DOS(E_F) = 7.8 states/eV per cell
1.0
5.4534 0.0000 0.0000
0.0000 4.0964 0.0000
-2.5495 0.0000 6.1515
Zr Ni H
4 2 8
direct
0.2019 0.2500 0.4176 Zr
0.2229 0.2500 0.9414 Zr
0.7771 0.7500 0.0586 Zr
0.7981 0.7500 0.5824 Zr
0.3397 0.7500 0.7016 Ni
0.6603 0.2500 0.2984 Ni
0.0379 0.7500 0.9052 H
0.0999 0.7500 0.4326 H
0.4290 0.5138 0.2514 H
0.4290 0.9862 0.2514 H
0.5710 0.0138 0.7486 H
0.5710 0.4862 0.7486 H
0.9001 0.2500 0.5674 H
0.9621 0.2500 0.0948 H



(5)
La2Tb4Er5 PBE optimized geometry; excess energy over the best structure of this formula in the dataset = 125 meV/atom; DOS(E_F) = 15.3 states/eV per cell; energy of formation from the pure elements = 0.152 eV per atom
1.0
8.2639 -3.3327 0.0000
8.2639 3.3327 0.0000
-1.1777 0.0000 6.6136
La Tb Er
2 4 5
direct
0.1991 0.1991 0.2950 La
0.8009 0.8009 0.7050 La
0.2438 0.2438 0.8042 Tb
0.4141 0.4141 0.5964 Tb
0.5859 0.5859 0.4036 Tb
0.7562 0.7562 0.1958 Tb
0.0000 0.0000 0.5000 Er
0.1735 0.6513 0.0955 Er
0.3487 0.8265 0.9045 Er
0.6513 0.1735 0.0955 Er
0.8265 0.3487 0.9045 Er



(6)
LiTe8As4 PBE optimized geometry; energy relative to the elements, uncorrected = -0.046 eV/atom; DOS(E_F) = 6.4 states/eV per cell
1.0
3.9030 2.2534 7.2662
-3.9030 2.2534 7.2662
0.0000 -4.5068 7.2662
Li Te As
1 8 4
direct
0.0000 0.0000 0.0000 Li
0.2489 0.2489 0.2489 Te
0.2506 0.7474 0.7474 Te
0.2526 0.2526 0.7494 Te
0.2526 0.7494 0.2526 Te
0.7474 0.2506 0.7474 Te
0.7474 0.7474 0.2506 Te
0.7494 0.2526 0.2526 Te
0.7511 0.7511 0.7511 Te
0.0000 0.0000 0.5000 As
0.0000 0.5000 0.0000 As
0.5000 0.0000 0.0000 As
0.5000 0.5000 0.5000 As



(7)
Ho2LuGa PBE optimized geometry; excess energy over the best structure of this formula in the dataset = 32 meV/atom; DOS(E_F) = 4.9 states/eV per cell; energy of formation from the pure elements = -0.240 eV per atom
1.0
4.6799 0.0000 0.0000
0.0000 4.6799 0.0000
0.0000 0.0000 4.6614
Ho Lu Ga
2 1 1
direct
0.0000 0.5000 0.0000 Ho
0.5000 0.0000 0.0000 Ho
0.0000 0.0000 0.5000 Lu
0.5000 0.5000 0.5000 Ga



(8)
NaNbFe2 PBE optimized geometry; excess energy over the best structure of this formula in the dataset = 0 meV/atom; DOS(E_F) = 7.4 states/eV per cell; energy of formation from the pure elements = 0.720 eV per atom
1.0
0.0000 3.1372 3.1372
3.1372 0.0000 3.1372
3.1372 3.1372 0.0000
Na Nb Fe
1 1 2
direct
0.0000 0.0000 0.0000 Na
0.5000 0.5000 0.5000 Nb
0.2500 0.2500 0.2500 Fe
0.7500 0.7500 0.7500 Fe



(9)
Tb5NdEr3 PBE optimized geometry; excess energy over the best structure of this formula in the dataset = 120 meV/atom; DOS(E_F) = 26.8 states/eV per cell; energy of formation from the pure elements = 0.422 eV per atom
1.0
8.4243 -3.9972 0.0000
8.4243 3.9972 0.0000
-7.9659 0.0000 9.2543
Tb Nd Er
10 2 6
direct
0.1797 0.8203 0.0000 Tb
0.2001 0.2001 0.0702 Tb
0.2299 0.6425 0.2211 Tb
0.3575 0.7701 0.7789 Tb
0.3746 0.3746 0.4323 Tb
0.6254 0.6254 0.5677 Tb
0.6425 0.2299 0.2211 Tb
0.7701 0.3575 0.7789 Tb
0.7999 0.7999 0.9298 Tb
0.8203 0.1797 0.0000 Tb
0.2638 0.2638 0.8683 Nd
0.7362 0.7362 0.1317 Nd
0.0000 0.0000 0.5000 Er
0.1199 0.1199 0.3175 Er
0.3293 0.3293 0.6612 Er
0.5000 0.5000 0.0000 Er
0.6707 0.6707 0.3388 Er
0.8801 0.8801 0.6825 Er



(10)
BaTaPRh2 PBE optimized geometry; DOS(E_F) = 6.6 states/eV per cell; energy of formation from the pure elements = 0.044 eV per atom
1.0
4.9047 0.0000 0.0000
0.0000 4.9047 0.0000
0.0000 0.0000 4.9493
Ba Ta P Rh
1 1 1 2
direct
0.0000 0.0000 0.0000 Ba
0.5000 0.5000 0.5000 Ta
0.5000 0.5000 0.0000 P
0.0000 0.5000 0.5000 Rh
0.5000 0.0000 0.5000 Rh



(11)
ZnIn6Sn2 PBE optimized geometry; DOS(E_F) = 4.0 states/eV per cell; energy of formation from the pure elements = 0.047 eV per atom
1.0
8.3770 -1.7207 0.0000
8.3770 1.7207 0.0000
-1.4163 0.0000 8.1718
Zn In Sn
1 6 2
direct
0.0000 0.0000 0.0000 Zn
0.1004 0.1004 0.6226 In
0.2261 0.2261 0.3254 In
0.3401 0.3401 0.0272 In
0.6599 0.6599 0.9728 In
0.7739 0.7739 0.6746 In
0.8996 0.8996 0.3774 In
0.4456 0.4456 0.7213 Sn
0.5544 0.5544 0.2787 Sn



(12)
TcHOs2 PBE optimized geometry; excess energy over the best structure of this formula in the dataset = 0 meV/atom; DOS(E_F) = 2.4 states/eV per cell
1.0
-3.0677 3.0677 2.5156
3.0677 -3.0677 2.5156
3.0677 3.0677 -2.5156
Tc H Os
2 2 4
direct
0.0000 0.0000 0.0000 Tc
0.7500 0.2500 0.5000 Tc
0.2500 0.7500 0.5000 H
0.5000 0.5000 0.0000 H
0.2215 0.6250 0.0965 Os
0.3750 0.4715 0.5965 Os
0.5285 0.1250 0.9035 Os
0.8750 0.7785 0.4035 Os



(13)
HfHgAs3 PBE optimized geometry; excess energy over the best structure of this formula in the dataset = 879 meV/atom; DOS(E_F) = 4.0 states/eV per cell; energy of formation from the pure elements = 1.072 eV per atom
1.0
5.0460 0.0000 0.0000
0.0000 5.0460 0.0000
0.0000 0.0000 5.0460
Hf Hg As
1 1 3
direct
0.0000 0.0000 0.0000 Hf
0.5000 0.5000 0.5000 Hg
0.0000 0.5000 0.5000 As
0.5000 0.0000 0.5000 As
0.5000 0.5000 0.0000 As



(14)
NdGaCu PBE optimized geometry; DOS(E_F) = 5.6 states/eV per cell; energy of formation from the pure elements = -0.435 eV per atom
1.0
-2.1603 3.8353 3.8854
2.1603 -3.8353 3.8854
2.1603 3.8353 -3.8854
Nd Ga Cu
2 2 2
direct
0.2372 0.2372 0.0000 Nd
0.7628 0.7628 0.0000 Nd
0.3363 0.0000 0.3363 Ga
0.6637 0.0000 0.6637 Ga
0.1670 0.5000 0.6670 Cu
0.8330 0.5000 0.3330 Cu



(15)
Bi2AuS2 PBE optimized geometry; energy relative to the elements, uncorrected = -0.043 eV/atom; excess energy over the best structure of this formula in the dataset = 0 meV/atom; DOS(E_F) = 2.8 states/eV per cell
1.0
8.1646 0.0000 0.0000
0.0000 8.1646 0.0000
0.0000 0.0000 3.9016
Bi Au S
4 2 4
direct
0.2015 0.2985 0.0000 Bi
0.2985 0.7985 0.0000 Bi
0.7015 0.2015 0.0000 Bi
0.7985 0.7015 0.0000 Bi
0.0000 0.0000 0.0000 Au
0.5000 0.5000 0.0000 Au
0.1414 0.6414 0.5000 S
0.3586 0.1414 0.5000 S
0.6414 0.8586 0.5000 S
0.8586 0.3586 0.5000 S



(16)
Th2AlOs PBE optimized geometry; DOS(E_F) = 4.9 states/eV per cell; energy of formation from the pure elements = 0.243 eV per atom
1.0
2.0490 1.1830 9.5508
-2.0490 1.1830 9.5508
0.0000 -2.3660 9.5508
Th Al Os
2 1 1
direct
0.1136 0.1136 0.1136 Th
0.8864 0.8864 0.8864 Th
0.0000 0.0000 0.0000 Al
0.5000 0.5000 0.5000 Os



(17)
CsNa2PaBr8 PBE optimized geometry; energy relative to the elements, uncorrected = -1.512 eV/atom
1.0
6.3942 0.0000 0.0000
0.2244 8.0839 0.0000
2.0881 3.4010 10.1347
Cs Na Pa Br
1 2 1 8
direct
0.0000 0.0000 0.0000 Cs
0.4370 0.4777 0.1778 Na
0.5630 0.5223 0.8222 Na
0.0000 0.5000 0.5000 Pa
0.1344 0.4913 0.7278 Br
0.2641 0.2440 0.4631 Br
0.2983 0.7461 0.3444 Br
0.4840 0.2266 0.0487 Br
0.5160 0.7734 0.9513 Br
0.7017 0.2539 0.6556 Br
0.7359 0.7560 0.5369 Br
0.8656 0.5087 0.2722 Br



(18)
KC3 PBE optimized geometry; excess energy over the best structure of this formula in the dataset = 1504 meV/atom; DOS(E_F) = 2.5 states/eV per cell; energy of formation from the pure elements = 2.074 eV per atom
1.0
3.3379 0.0000 0.0000
-1.6690 2.8907 0.0000
0.0000 0.0000 5.8088
K C
1 3
direct
0.0000 0.0000 0.0000 K
0.0000 0.0000 0.5000 C
0.3333 0.6667 0.3833 C
0.3333 0.6667 0.6167 C



(19)
IrRhAu2 PBE optimized geometry; excess energy over the best structure of this formula in the dataset = 315 meV/atom; DOS(E_F) = 4.9 states/eV per cell; energy of formation from the pure elements = 0.456 eV per atom
1.0
0.0000 3.1940 3.1940
3.1940 0.0000 3.1940
3.1940 3.1940 0.0000
Ir Rh Au
1 1 2
direct
0.0000 0.0000 0.0000 Ir
0.5000 0.5000 0.5000 Rh
0.2500 0.2500 0.2500 Au
0.7500 0.7500 0.7500 Au



(20)
ZrBiP2Cl PBE optimized geometry; energy relative to the elements, uncorrected = 0.814 eV/atom; excess energy over the best structure of this formula in the dataset = 950 meV/atom; DOS(E_F) = 4.7 states/eV per cell
1.0
5.2306 0.0000 0.0000
0.0000 5.2306 0.0000
0.0000 0.0000 5.0493
Zr Bi P Cl
1 1 2 1
direct
0.0000 0.0000 0.0000 Zr
0.5000 0.5000 0.5000 Bi
0.0000 0.5000 0.5000 P
0.5000 0.0000 0.5000 P
0.5000 0.5000 0.0000 Cl



(21)
CrIr2Se PBE optimized geometry; energy relative to the elements, uncorrected = 0.191 eV/atom; DOS(E_F) = 3.3 states/eV per cell
1.0
2.7866 0.0000 0.0000
0.0000 2.7866 0.0000
0.0000 0.0000 7.6191
Cr Ir Se
1 2 1
direct
0.0000 0.0000 0.0000 Cr
0.5000 0.5000 0.2214 Ir
0.5000 0.5000 0.7786 Ir
0.0000 0.0000 0.5000 Se



(22)
CsBa2TlPb PBE optimized geometry; DOS(E_F) = 5.0 states/eV per cell; energy of formation from the pure elements = -0.019 eV per atom
1.0
6.9421 0.0000 0.0000
0.0000 6.9421 0.0000
0.0000 0.0000 6.1213
Cs Ba Tl Pb
1 2 1 1
direct
0.0000 0.0000 0.0000 Cs
0.0000 0.5000 0.5000 Ba
0.5000 0.0000 0.5000 Ba
0.5000 0.5000 0.0000 Tl
0.5000 0.5000 0.5000 Pb



(23)
ZnFeCu2 PBE optimized geometry; DOS(E_F) = 13.5 states/eV per cell; energy of formation from the pure elements = 0.375 eV per atom
1.0
-1.7583 1.7583 8.8018
1.7583 -1.7583 8.8018
1.7583 1.7583 -8.8018
Zn Fe Cu
2 2 4
direct
0.0000 0.0000 0.0000 Zn
0.7500 0.2500 0.5000 Zn
0.2500 0.7500 0.5000 Fe
0.5000 0.5000 0.0000 Fe
0.1245 0.6250 0.9995 Cu
0.3750 0.3745 0.4995 Cu
0.6255 0.1250 0.0005 Cu
0.8750 0.8755 0.5005 Cu



(24)
VFeCuGe PBE optimized geometry; DOS(E_F) = 2.1 states/eV per cell; energy of formation from the pure elements = -0.040 eV per atom
1.0
0.0000 2.9091 2.9091
2.9091 0.0000 2.9091
2.9091 2.9091 0.0000
V Fe Cu Ge
1 1 1 1
direct
0.0000 0.0000 0.0000 V
0.7500 0.7500 0.7500 Fe
0.2500 0.2500 0.2500 Cu
0.5000 0.5000 0.5000 Ge



(25)
CeThTlIn PBE optimized geometry; excess energy over the best structure of this formula in the dataset = 0 meV/atom; DOS(E_F) = 8.1 states/eV per cell; energy of formation from the pure elements = -0.249 eV per atom
1.0
4.6444 0.0000 0.0000
0.0000 4.9384 0.0000
0.0000 0.0000 4.9418
Ce Th Tl In
1 1 1 1
direct
0.0000 0.0000 0.0000 Ce
0.0000 0.5000 0.5000 Th
0.5000 0.5000 0.0000 Tl
0.5000 0.0000 0.5000 In